[1]
Here is a relaxed Y5Tl4 crystal from the Alexandria database. Energies are from GGA-PBEsol.

Results
The calculation puts the electronic total energy at -97.5 eV per cell. The value obtained for the formation energy is -4.10 eV/f.u. The space group is P6_3/mcm, No. 193.

Structure (POSCAR):
```
Y5Tl4
1.0
9.187 0.000 0.000
-4.594 7.956 0.000
0.000 0.000 6.583
Y Tl
10 8
Cartesian
-1.323 2.291 1.646
-3.271 5.665 4.937
2.646 0.000 1.646
1.323 2.291 4.937
0.000 5.304 0.000
0.000 5.304 3.291
4.594 2.652 0.000
4.594 2.652 3.291
6.542 0.000 4.937
3.271 5.665 1.646
0.000 0.000 0.000
0.000 0.000 3.291
-1.721 2.981 4.937
-2.873 4.976 1.646
3.442 0.000 4.937
1.721 2.981 1.646
5.745 0.000 1.646
2.873 4.976 4.937
```

=====

[2]
Here is a relaxed Y3Tl crystal from the Alexandria database. Energies are from GGA-PBEsol.

Results
The calculation puts the electronic total energy at -47.8 eV per cell. The value obtained for the formation energy is -0.83 eV/f.u. The space group is Pm-3n, No. 223.

Structure (POSCAR):
```
Y3Tl
1.0
6.037 0.000 0.000
0.000 6.037 0.000
0.000 0.000 6.037
Y Tl
6 2
Cartesian
0.000 1.509 3.018
0.000 4.528 3.018
1.509 3.018 0.000
3.018 0.000 1.509
3.018 0.000 4.528
4.528 3.018 0.000
0.000 0.000 0.000
3.018 3.018 3.018
```

=====

[3]
Here is a relaxed Y5Tl crystal from the Alexandria database. Energies are from GGA-PBEsol.

Results
The calculation puts the offset from the most stable computed form at 0.000 eV per atom. The calculation puts the electronic total energy at -75.3 eV per cell. The value obtained for the formation energy is -0.89 eV/f.u. The space group is Cmmm, No. 65.

Structure (POSCAR):
```
Y5Tl
1.0
4.782 0.000 0.000
0.000 14.987 0.000
0.000 0.000 4.788
Y Tl
10 2
Cartesian
0.000 0.000 0.000
0.000 2.417 2.394
0.000 4.979 0.000
0.000 10.009 0.000
0.000 12.571 2.394
2.391 2.515 0.000
2.391 5.077 2.394
2.391 7.494 0.000
2.391 9.910 2.394
2.391 12.472 0.000
0.000 7.494 2.394
2.391 0.000 2.394
```

=====

[4]
Here is a relaxed Y2Tl crystal from the Alexandria database. Energies are from GGA-PBEsol.

Results
The calculation puts the electronic total energy at -69.5 eV per cell. The value obtained for the formation energy is -1.11 eV/f.u. The space group is Pnma, No. 62.

Structure (POSCAR):
```
Y2Tl
1.0
6.729 0.000 0.000
0.000 5.001 0.000
0.000 0.000 9.827
Y Tl
8 4
Cartesian
0.322 1.250 2.018
1.161 1.250 5.526
2.203 3.750 0.612
3.042 3.750 6.931
3.687 1.250 2.896
4.526 1.250 9.215
5.568 3.750 4.301
6.407 3.750 7.809
1.408 1.250 8.666
1.956 3.750 3.753
4.773 1.250 6.074
5.321 3.750 1.161
```

=====

[5]
Here is a relaxed Y3Tl crystal from the Alexandria database. Energies are from GGA-PBEsol.

Results
The calculation puts the electronic total energy at -23.9 eV per cell. The value obtained for the formation energy is -0.78 eV/f.u. The space group is Pmmm, No. 47.

Structure (POSCAR):
```
Y3Tl
1.0
3.619 0.000 0.000
0.000 4.637 0.000
0.000 0.000 6.674
Y Tl
3 1
Cartesian
0.000 0.000 0.000
1.810 2.319 1.716
1.810 2.319 4.958
0.000 0.000 3.337
```

=====

[6]
Here is a relaxed Y2Tl crystal from the Alexandria database. Energies are from GGA-PBEsol.

Results
The calculation puts the electronic total energy at -51.8 eV per cell. The value obtained for the formation energy is -0.99 eV/f.u. The space group is P-62m, No. 189.

Structure (POSCAR):
```
Y2Tl
1.0
8.296 0.000 0.000
-4.148 7.184 0.000
0.000 0.000 4.283
Y Tl
6 3
Cartesian
-1.097 1.900 0.000
-2.484 4.302 2.141
2.194 0.000 0.000
1.664 2.882 2.141
4.968 0.000 2.141
3.051 5.284 0.000
0.000 0.000 2.141
0.000 4.789 0.000
4.148 2.395 0.000
```

=====

[7]
Here is a relaxed Y3Tl crystal from the Alexandria database. Energies are from GGA-PBEsol.

Results
The calculation puts the electronic total energy at -48.1 eV per cell. The value obtained for the formation energy is -0.97 eV/f.u. The space group is Immm, No. 71.

Structure (POSCAR):
```
Y3Tl
1.0
3.829 0.000 0.000
0.000 5.257 0.000
0.000 0.000 11.349
Y Tl
6 2
Cartesian
0.000 0.000 0.000
0.000 2.628 2.517
0.000 2.628 8.832
1.914 0.000 3.158
1.914 0.000 8.191
1.914 2.628 5.674
0.000 0.000 5.674
1.914 2.628 0.000
```

=====

[8]
Here is a relaxed YTl4 crystal from the Alexandria database. Energies are from GGA-PBEsol.

Results
The calculation puts the offset from the most stable computed form at 0.000 eV per atom. The calculation puts the electronic total energy at -36.3 eV per cell. The value obtained for the formation energy is -0.82 eV/f.u. The space group is I4/m, No. 87.

Structure (POSCAR):
```
YTl4
1.0
7.709 0.000 0.000
0.000 7.709 0.000
0.000 0.000 4.425
Y Tl
2 8
Cartesian
0.000 0.000 0.000
3.855 3.855 2.212
0.776 5.379 2.212
1.524 3.079 0.000
2.330 0.776 2.212
3.079 6.185 0.000
4.630 1.524 0.000
5.379 6.933 2.212
6.185 4.630 0.000
6.933 2.330 2.212
```

=====

Repeat the eighth record exactly.
Here is a relaxed YTl4 crystal from the Alexandria database. Energies are from GGA-PBEsol.

Results
The calculation puts the offset from the most stable computed form at 0.000 eV per atom. The calculation puts the electronic total energy at -36.3 eV per cell. The value obtained for the formation energy is -0.82 eV/f.u. The space group is I4/m, No. 87.

Structure (POSCAR):
```
YTl4
1.0
7.709 0.000 0.000
0.000 7.709 0.000
0.000 0.000 4.425
Y Tl
2 8
Cartesian
0.000 0.000 0.000
3.855 3.855 2.212
0.776 5.379 2.212
1.524 3.079 0.000
2.330 0.776 2.212
3.079 6.185 0.000
4.630 1.524 0.000
5.379 6.933 2.212
6.185 4.630 0.000
6.933 2.330 2.212
```